A plane-wave DFT calculation with PBE was carried out for a relaxed Ac3SbSe6 crystal.

Cell lengths 7.5422, 9.5690, 9.5690 Å; angles 102.61, 90.00, 90.00 degrees
Element x y z (fractional)
Se (0.1883, 0.6867, 0.6390)
Se (0.1883, 0.3610, 0.3133)
Se (0.7361, 0.9874, 0.0126)
Se (0.6822, 0.5816, 0.0961)
Se (0.1822, 0.4184, 0.9039)
Se (0.1822, 0.0961, 0.5816)
Se (0.2361, 0.0126, 0.9874)
Se (0.6822, 0.9039, 0.4184)
Se (0.6883, 0.3133, 0.3610)
Se (0.1437, 0.7701, 0.2299)
Se (0.6883, 0.6390, 0.6867)
Se (0.6437, 0.2299, 0.7701)
Ac (0.4797, 0.9169, 0.7131)
Ac (0.3980, 0.3992, 0.6008)
Ac (0.4797, 0.2869, 0.0831)
Ac (0.9797, 0.7131, 0.9169)
Ac (0.9797, 0.0831, 0.2869)
Ac (0.8980, 0.6008, 0.3992)
Sb (0.5072, 0.8272, 0.1728)
Sb (0.0072, 0.1728, 0.8272)

Results
The magnetic moment comes out at 0.000 μB per cell. The calculation puts the uncorrected energy at -5.305 eV per atom. Its calculated volume is 674 Å³/cell. Its formation energy without anion corrections is -1.570 eV per atom.